Entry 1:
First-principles (PBE-GGA) data for Pa2SiOs after structural relaxation, as listed in Alexandria via LeMat-Bulk.

## Properties
**E above lowest polymorph**: 0.0000 eV/atom
**Energy relative to the elements, uncorrected**: -495 meV/atom
**Uncorrected energy**: -75.2 eV per cell
**DOS(E_F)**: 1.41 states/eV per atom

a b c (Å): 5.786 3.943 7.976
angles (deg): 90.00 109.29 90.00
Element x y z (fractional)
Pa 0.199 0.250 0.409
Pa 0.280 0.750 0.066
Pa 0.720 0.250 0.934
Pa 0.801 0.750 0.591
Si 0.358 0.750 0.703
Si 0.642 0.250 0.297
Os 0.125 0.250 0.797
Os 0.875 0.750 0.203

Entry 2:
First-principles (PBE-GGA) data for Pa4Si6Os7 after structural relaxation, as listed in Alexandria via LeMat-Bulk.

## Properties
**Energy relative to the elements, uncorrected**: -735 meV/atom
**Uncorrected energy**: -161.6 eV per cell
**DOS(E_F)**: 0.84 states/eV per atom

a b c (Å): 7.180 7.180 7.180
angles (deg): 109.47 109.47 109.47
Element x y z (fractional)
Pa 0.000 0.000 0.500
Pa 0.000 0.500 0.000
Pa 0.500 0.000 0.000
Pa 0.500 0.500 0.500
Si 0.000 0.317 0.317
Si 0.000 0.683 0.683
Si 0.317 0.000 0.317
Si 0.317 0.317 0.000
Si 0.683 0.000 0.683
Si 0.683 0.683 0.000
Os 0.000 0.000 0.000
Os 0.250 0.500 0.750
Os 0.250 0.750 0.500
Os 0.500 0.250 0.750
Os 0.500 0.750 0.250
Os 0.750 0.250 0.500
Os 0.750 0.500 0.250

Entry 3:
First-principles (PBE-GGA) data for Pa3SiOs after structural relaxation, as listed in Alexandria via LeMat-Bulk.

## Properties
**Energy relative to the elements, uncorrected**: -242 meV/atom
**Uncorrected energy**: -185.4 eV per cell
**DOS(E_F)**: 1.75 states/eV per atom

a b c (Å): 7.757 5.336 11.191
angles (deg): 90.00 108.29 90.00
Element x y z (fractional)
Pa 0.132 0.106 0.409
Pa 0.132 0.394 0.909
Pa 0.291 0.069 0.768
Pa 0.291 0.431 0.268
Pa 0.339 0.602 0.578
Pa 0.339 0.898 0.078
Pa 0.661 0.102 0.922
Pa 0.661 0.398 0.422
Pa 0.709 0.569 0.732
Pa 0.709 0.931 0.232
Pa 0.868 0.606 0.091
Pa 0.868 0.894 0.591
Si 0.474 0.595 0.889
Si 0.474 0.905 0.389
Si 0.526 0.095 0.611
Si 0.526 0.405 0.111
Os 0.005 0.138 0.111
Os 0.005 0.362 0.611
Os 0.995 0.638 0.389
Os 0.995 0.862 0.889

Entry 4:
First-principles (PBE-GGA) data for Pa2TaSi2Os5 after structural relaxation, as listed in Alexandria via LeMat-Bulk.

## Properties
**Energy relative to the elements, uncorrected**: -405 meV/atom
**Uncorrected energy**: -203.8 eV per cell
**DOS(E_F)**: 0.81 states/eV per atom

a b c (Å): 9.769 9.769 3.562
angles (deg): 90.00 90.00 90.00
Element x y z (fractional)
Pa 0.176 0.324 0.000
Pa 0.324 0.824 0.000
Pa 0.676 0.176 0.000
Pa 0.824 0.676 0.000
Ta 0.000 0.000 0.000
Ta 0.500 0.500 0.000
Si 0.121 0.621 0.000
Si 0.379 0.121 0.000
Si 0.621 0.879 0.000
Si 0.879 0.379 0.000
Os 0.000 0.500 0.500
Os 0.072 0.789 0.500
Os 0.211 0.072 0.500
Os 0.289 0.572 0.500
Os 0.428 0.289 0.500
Os 0.500 0.000 0.500
Os 0.572 0.711 0.500
Os 0.711 0.428 0.500
Os 0.789 0.928 0.500
Os 0.928 0.211 0.500

Entry 5:
First-principles (PBE-GGA) data for PaTaSi2Os after structural relaxation, as listed in Alexandria via LeMat-Bulk.

## Properties
**Energy relative to the elements, uncorrected**: -507 meV/atom
**Uncorrected energy**: -46.0 eV per cell
**DOS(E_F)**: 1.25 states/eV per atom

a b c (Å): 6.159 6.159 6.159
angles (deg): 141.94 141.94 54.92
Element x y z (fractional)
Pa 0.000 0.000 0.000
Ta 0.250 0.750 0.500
Si 0.393 0.393 0.000
Si 0.607 0.607 0.000
Os 0.750 0.250 0.500

Entry 6:
First-principles (PBE-GGA) data for PaSi2TcOs after structural relaxation, as listed in Alexandria via LeMat-Bulk.

## Properties
**Energy relative to the elements, uncorrected**: -657 meV/atom
**Uncorrected energy**: -45.2 eV per cell
**DOS(E_F)**: 1.07 states/eV per atom

a b c (Å): 5.632 5.632 5.632
angles (deg): 136.16 136.16 63.73
Element x y z (fractional)
Pa 0.000 0.000 0.000
Si 0.374 0.374 0.000
Si 0.626 0.626 0.000
Tc 0.250 0.750 0.500
Os 0.750 0.250 0.500

Entry 7:
First-principles (PBE-GGA) data for Pa3Si3Tc2Os after structural relaxation, as listed in Alexandria via LeMat-Bulk.

## Properties
**Energy relative to the elements, uncorrected**: -598 meV/atom
**Uncorrected energy**: -82.1 eV per cell
**DOS(E_F)**: 0.80 states/eV per atom

a b c (Å): 6.937 6.937 3.956
angles (deg): 90.00 90.00 120.00
Element x y z (fractional)
Pa 0.000 0.578 0.000
Pa 0.422 0.422 0.000
Pa 0.578 0.000 0.000
Si 0.000 0.237 0.500
Si 0.237 0.000 0.500
Si 0.763 0.763 0.500
Tc 0.333 0.667 0.500
Tc 0.667 0.333 0.500
Os 0.000 0.000 0.000

Entry 8:
First-principles (PBE-GGA) data for Pa2Si3TcOs4 after structural relaxation, as listed in Alexandria via LeMat-Bulk.

## Properties
**Energy relative to the elements, uncorrected**: -497 meV/atom
**Uncorrected energy**: -95.5 eV per cell
**DOS(E_F)**: 1.15 states/eV per atom

a b c (Å): 4.129 4.129 10.083
angles (deg): 90.00 90.00 90.00
Element x y z (fractional)
Pa 0.000 0.500 0.238
Pa 0.500 0.000 0.762
Si 0.000 0.500 0.875
Si 0.500 0.000 0.125
Si 0.500 0.500 0.500
Tc 0.000 0.000 0.500
Os 0.000 0.000 0.000
Os 0.000 0.500 0.638
Os 0.500 0.000 0.362
Os 0.500 0.500 0.000